Material: LaSbP2S8
Method: DFT, PBE
State: relaxed

Unit cell a=6.6103 b=6.6103 c=8.8335 alpha=90.00 beta=90.00 gamma=120.00
With the nearest neighbours (Å) after each atom.
Sites, in units of the cell vectors:
La: 0.0000 0.0000 0.0000  6 S 3.01
Sb: 0.0000 0.0000 0.5000  6 S 2.75
P: 0.3333 0.6667 0.1966  4 S 1.99-2.07
P: 0.6667 0.3333 0.8034  4 S 1.99-2.07
S: 0.1612 0.3225 0.2692  1 P 2.07
S: 0.1612 0.8388 0.2692  1 P 2.07
S: 0.3225 0.1612 0.7308  1 P 2.07
S: 0.3333 0.6667 0.9714  1 P 1.99
S: 0.6667 0.3333 0.0286  1 P 1.99
S: 0.6775 0.8388 0.2692  1 P 2.07
S: 0.8388 0.1612 0.7308  1 P 2.07
S: 0.8388 0.6775 0.7308  1 P 2.07

Properties
formation energy (no corrections): -0.452 eV per atom
V: 334 Å³/cell
total magnetic moment: 0.00 μB/cell

=====

Material: CsHg2Pb2
Method: DFT, PBE
State: relaxed

Unit cell a=6.9761 b=7.9744 c=8.2549 alpha=111.06 beta=108.44 gamma=101.02
With the nearest neighbours (Å) after each atom.
Sites, in units of the cell vectors:
Cs: 0.1921 0.3796 0.2344  6 Hg 3.78-4.15, 3 Pb 4.11-4.20
Cs: 0.8079 0.6204 0.7656  6 Hg 3.78-4.15, 3 Pb 4.11-4.20
Hg: 0.2681 0.9384 0.3231  2 Pb 3.03-3.05, 1 Hg 3.27
Hg: 0.3896 0.6559 0.9662  4 Pb 3.06-3.39, 1 Hg 3.28
Hg: 0.6104 0.3441 0.0338  4 Pb 3.06-3.39, 1 Hg 3.28
Hg: 0.7319 0.0616 0.6769  2 Pb 3.03-3.05, 1 Hg 3.27
Pb: 0.1465 0.2402 0.6615  3 Hg 3.03-3.39, 1 Pb 3.27
Pb: 0.3411 0.9237 0.7481  3 Hg 3.05-3.25, 1 Pb 3.27
Pb: 0.6589 0.0763 0.2519  3 Hg 3.05-3.25, 1 Pb 3.27
Pb: 0.8535 0.7598 0.3385  3 Hg 3.03-3.39, 1 Pb 3.27

Properties
V: 382 Å³/cell
total magnetic moment: 0.00 μB/cell
E above lowest polymorph: 0.0255 eV/atom